Entry 1:
# Ac2Pm2Cd | the Alexandria database | GGA-PBE | relaxed
data_Ac2Pm2Cd
_cell_length_a 3.912
_cell_length_b 3.912
_cell_length_c 12.261
_cell_angle_alpha 99.18
_cell_angle_beta 99.18
_cell_angle_gamma 90.00
_symmetry_space_group_name_H-M 'P 1'
_symmetry_Int_Tables_number 1
loop_
_symmetry_equiv_pos_as_xyz
'x,y,z'
loop_
_atom_site_label
_atom_site_type_symbol
_atom_site_fract_x
_atom_site_fract_y
_atom_site_fract_z
Ac1 Ac 0.590 0.590 0.180
Ac2 Ac 0.410 0.410 0.820
Pm1 Pm 0.799 0.799 0.598
Pm2 Pm 0.201 0.201 0.402
Cd1 Cd 0.000 0.000 0.000
# Formation enthalpy at 0 K = -0.0918 eV per atom
# Size of the total moment = 0.000 μB/atom

***

Entry 2:
# Ac4PmCd5 | the Alexandria database | GGA-PBE | relaxed
data_Ac4PmCd5
_cell_length_a 4.029
_cell_length_b 4.029
_cell_length_c 20.145
_cell_angle_alpha 90.00
_cell_angle_beta 90.00
_cell_angle_gamma 90.00
_symmetry_space_group_name_H-M 'P 1'
_symmetry_Int_Tables_number 1
loop_
_symmetry_equiv_pos_as_xyz
'x,y,z'
loop_
_atom_site_label
_atom_site_type_symbol
_atom_site_fract_x
_atom_site_fract_y
_atom_site_fract_z
Ac1 Ac 0.000 0.000 0.191
Ac2 Ac 0.000 0.000 0.397
Ac3 Ac 0.000 0.000 0.603
Ac4 Ac 0.000 0.000 0.809
Pm1 Pm 0.000 0.000 0.000
Cd1 Cd 0.500 0.500 0.086
Cd2 Cd 0.500 0.500 0.295
Cd3 Cd 0.500 0.500 0.500
Cd4 Cd 0.500 0.500 0.705
Cd5 Cd 0.500 0.500 0.914
# Formation enthalpy at 0 K = -0.2933 eV per atom
# Size of the total moment = 0.001 μB/atom

***

Entry 3:
# Ac6Pm2Cd | the Alexandria database | GGA-PBE | relaxed
data_Ac6Pm2Cd
_cell_length_a 3.919
_cell_length_b 10.337
_cell_length_c 10.330
_cell_angle_alpha 120.02
_cell_angle_beta 90.00
_cell_angle_gamma 90.00
_symmetry_space_group_name_H-M 'P 1'
_symmetry_Int_Tables_number 1
loop_
_symmetry_equiv_pos_as_xyz
'x,y,z'
loop_
_atom_site_label
_atom_site_type_symbol
_atom_site_fract_x
_atom_site_fract_y
_atom_site_fract_z
Ac1 Ac 0.500 0.624 0.000
Ac2 Ac 0.500 0.376 0.376
Ac3 Ac 0.500 0.000 0.624
Ac4 Ac 0.000 0.280 0.000
Ac5 Ac 0.000 0.721 0.721
Ac6 Ac 0.000 0.000 0.279
Pm1 Pm 0.000 0.333 0.667
Pm2 Pm 0.000 0.666 0.333
Cd1 Cd 0.500 0.000 0.000
# Formation enthalpy at 0 K = -0.0379 eV per atom
# Size of the total moment = 0.000 μB/atom

***

Entry 4:
# AcPmCd4 | the Alexandria database | GGA-PBE | relaxed
data_AcPmCd4
_cell_length_a 5.134
_cell_length_b 6.291
_cell_length_c 6.291
_cell_angle_alpha 70.46
_cell_angle_beta 65.92
_cell_angle_gamma 65.92
_symmetry_space_group_name_H-M 'P 1'
_symmetry_Int_Tables_number 1
loop_
_symmetry_equiv_pos_as_xyz
'x,y,z'
loop_
_atom_site_label
_atom_site_type_symbol
_atom_site_fract_x
_atom_site_fract_y
_atom_site_fract_z
Ac1 Ac 0.000 0.000 0.500
Pm1 Pm 0.000 0.500 0.000
Cd1 Cd 0.667 0.574 0.592
Cd2 Cd 0.333 0.426 0.408
Cd3 Cd 0.333 0.908 0.926
Cd4 Cd 0.667 0.092 0.074
# Formation enthalpy at 0 K = -0.3244 eV per atom
# E above lowest polymorph = 0.0 meV per atom
# Size of the total moment = 0.000 μB/atom

***

Entry 5:
# Ac2PmCd6 | the Alexandria database | GGA-PBE | relaxed
data_Ac2PmCd6
_cell_length_a 3.761
_cell_length_b 8.879
_cell_length_c 8.879
_cell_angle_alpha 120.00
_cell_angle_beta 90.00
_cell_angle_gamma 90.00
_symmetry_space_group_name_H-M 'P 1'
_symmetry_Int_Tables_number 1
loop_
_symmetry_equiv_pos_as_xyz
'x,y,z'
loop_
_atom_site_label
_atom_site_type_symbol
_atom_site_fract_x
_atom_site_fract_y
_atom_site_fract_z
Ac1 Ac 0.000 0.333 0.667
Ac2 Ac 0.000 0.667 0.333
Pm1 Pm 0.000 0.000 0.000
Cd1 Cd 0.500 0.327 0.327
Cd2 Cd 0.500 0.673 0.673
Cd3 Cd 0.500 0.000 0.673
Cd4 Cd 0.500 0.673 0.000
Cd5 Cd 0.500 0.327 0.000
Cd6 Cd 0.500 0.000 0.327
# Formation enthalpy at 0 K = -0.3232 eV per atom
# Size of the total moment = 0.005 μB/atom

***

Entry 6:
# AcPm3Cd6 | the Alexandria database | GGA-PBE | relaxed
data_AcPm3Cd6
_cell_length_a 5.359
_cell_length_b 9.548
_cell_length_c 11.543
_cell_angle_alpha 107.29
_cell_angle_beta 90.00
_cell_angle_gamma 90.00
_symmetry_space_group_name_H-M 'P 1'
_symmetry_Int_Tables_number 1
loop_
_symmetry_equiv_pos_as_xyz
'x,y,z'
loop_
_atom_site_label
_atom_site_type_symbol
_atom_site_fract_x
_atom_site_fract_y
_atom_site_fract_z
Ac1 Ac 0.250 0.944 0.610
Ac2 Ac 0.750 0.056 0.390
Pm1 Pm 0.250 0.525 0.385
Pm2 Pm 0.750 0.475 0.615
Pm3 Pm 0.250 0.355 0.796
Pm4 Pm 0.750 0.645 0.204
Pm5 Pm 0.250 0.767 0.992
Pm6 Pm 0.750 0.233 0.008
Cd1 Cd 0.250 0.455 0.089
Cd2 Cd 0.750 0.545 0.911
Cd3 Cd 0.250 0.146 0.194
Cd4 Cd 0.750 0.854 0.806
Cd5 Cd 0.250 0.652 0.704
Cd6 Cd 0.750 0.348 0.296
Cd7 Cd 0.250 0.262 0.501
Cd8 Cd 0.750 0.738 0.499
Cd9 Cd 0.250 0.833 0.287
Cd10 Cd 0.750 0.167 0.713
Cd11 Cd 0.250 0.061 0.909
Cd12 Cd 0.750 0.939 0.091
# Formation enthalpy at 0 K = -0.2753 eV per atom
# Size of the total moment = 0.000 μB/atom

***

Entry 7:
# AcPm2Cd6 | the Alexandria database | GGA-PBE | relaxed
data_AcPm2Cd6
_cell_length_a 3.588
_cell_length_b 8.842
_cell_length_c 8.842
_cell_angle_alpha 120.00
_cell_angle_beta 90.00
_cell_angle_gamma 90.00
_symmetry_space_group_name_H-M 'P 1'
_symmetry_Int_Tables_number 1
loop_
_symmetry_equiv_pos_as_xyz
'x,y,z'
loop_
_atom_site_label
_atom_site_type_symbol
_atom_site_fract_x
_atom_site_fract_y
_atom_site_fract_z
Ac1 Ac 0.000 0.000 0.000
Pm1 Pm 0.000 0.333 0.667
Pm2 Pm 0.000 0.667 0.333
Cd1 Cd 0.500 0.338 0.338
Cd2 Cd 0.500 0.662 0.662
Cd3 Cd 0.500 0.000 0.662
Cd4 Cd 0.500 0.662 0.000
Cd5 Cd 0.500 0.338 0.000
Cd6 Cd 0.500 0.000 0.338
# Formation enthalpy at 0 K = -0.3250 eV per atom
# Size of the total moment = 0.004 μB/atom

***

Entry 8:
# AcPm2Cd | the Alexandria database | GGA-PBE | relaxed
data_AcPm2Cd
_cell_length_a 3.640
_cell_length_b 3.640
_cell_length_c 12.485
_cell_angle_alpha 81.62
_cell_angle_beta 81.62
_cell_angle_gamma 60.00
_symmetry_space_group_name_H-M 'P 1'
_symmetry_Int_Tables_number 1
loop_
_symmetry_equiv_pos_as_xyz
'x,y,z'
loop_
_atom_site_label
_atom_site_type_symbol
_atom_site_fract_x
_atom_site_fract_y
_atom_site_fract_z
Ac1 Ac 0.000 0.000 0.000
Cd1 Cd 0.500 0.500 0.500
Pm1 Pm 0.098 0.098 0.705
Pm2 Pm 0.902 0.902 0.295
# Formation enthalpy at 0 K = 0.1267 eV per atom
# E above lowest polymorph = 270.0 meV per atom
# Size of the total moment = 0.000 μB/atom

***

Entry 9:
# AcPm6Cd2 | the Alexandria database | GGA-PBE | relaxed
data_AcPm6Cd2
_cell_length_a 6.197
_cell_length_b 9.989
_cell_length_c 9.989
_cell_angle_alpha 72.10
_cell_angle_beta 84.24
_cell_angle_gamma 84.24
_symmetry_space_group_name_H-M 'P 1'
_symmetry_Int_Tables_number 1
loop_
_symmetry_equiv_pos_as_xyz
'x,y,z'
loop_
_atom_site_label
_atom_site_type_symbol
_atom_site_fract_x
_atom_site_fract_y
_atom_site_fract_z
Ac1 Ac 0.250 0.111 0.889
Ac2 Ac 0.750 0.889 0.111
Pm1 Pm 0.489 0.673 0.446
Pm2 Pm 0.011 0.554 0.327
Pm3 Pm 0.511 0.327 0.554
Pm4 Pm 0.989 0.446 0.673
Pm5 Pm 0.665 0.108 0.354
Pm6 Pm 0.835 0.646 0.892
Pm7 Pm 0.335 0.892 0.646
Pm8 Pm 0.165 0.354 0.108
Pm9 Pm 0.305 0.726 0.029
Pm10 Pm 0.195 0.971 0.274
Pm11 Pm 0.695 0.274 0.971
Pm12 Pm 0.805 0.029 0.726
Cd1 Cd 0.401 0.535 0.793
Cd2 Cd 0.099 0.207 0.465
Cd3 Cd 0.599 0.465 0.207
Cd4 Cd 0.901 0.793 0.535
# Formation enthalpy at 0 K = -0.0592 eV per atom
# E above lowest polymorph = 64.8 meV per atom
# Size of the total moment = 0.000 μB/atom

***

Entry 10:
# AcPm8Cd2 | the Alexandria database | GGA-PBE | relaxed
data_AcPm8Cd2
_cell_length_a 5.335
_cell_length_b 9.112
_cell_length_c 9.112
_cell_angle_alpha 73.62
_cell_angle_beta 80.57
_cell_angle_gamma 80.57
_symmetry_space_group_name_H-M 'P 1'
_symmetry_Int_Tables_number 1
loop_
_symmetry_equiv_pos_as_xyz
'x,y,z'
loop_
_atom_site_label
_atom_site_type_symbol
_atom_site_fract_x
_atom_site_fract_y
_atom_site_fract_z
Ac1 Ac 0.000 0.000 0.000
Pm1 Pm 0.781 0.166 0.631
Pm2 Pm 0.219 0.369 0.834
Pm3 Pm 0.868 0.246 0.246
Pm4 Pm 0.132 0.754 0.754
Pm5 Pm 0.781 0.631 0.166
Pm6 Pm 0.219 0.834 0.369
Pm7 Pm 0.292 0.418 0.418
Pm8 Pm 0.708 0.582 0.582
Cd1 Cd 0.431 0.143 0.143
Cd2 Cd 0.569 0.857 0.857
# Formation enthalpy at 0 K = 0.3200 eV per atom
# Size of the total moment = 0.000 μB/atom

***

Entry 11:
# Ac3Pm12Cd | the Alexandria database | GGA-PBE | relaxed
data_Ac3Pm12Cd
_cell_length_a 5.203
_cell_length_b 5.203
_cell_length_c 20.765
_cell_angle_alpha 90.00
_cell_angle_beta 90.00
_cell_angle_gamma 90.00
_symmetry_space_group_name_H-M 'P 1'
_symmetry_Int_Tables_number 1
loop_
_symmetry_equiv_pos_as_xyz
'x,y,z'
loop_
_atom_site_label
_atom_site_type_symbol
_atom_site_fract_x
_atom_site_fract_y
_atom_site_fract_z
Ac1 Ac 0.000 0.000 0.244
Ac2 Ac 0.000 0.000 0.500
Ac3 Ac 0.000 0.000 0.756
Pm1 Pm 0.500 0.500 0.000
Pm2 Pm 0.500 0.500 0.240
Pm3 Pm 0.500 0.500 0.500
Pm4 Pm 0.500 0.500 0.760
Pm5 Pm 0.500 0.000 0.116
Pm6 Pm 0.500 0.000 0.372
Pm7 Pm 0.500 0.000 0.628
Pm8 Pm 0.500 0.000 0.884
Pm9 Pm 0.000 0.500 0.116
Pm10 Pm 0.000 0.500 0.372
Pm11 Pm 0.000 0.500 0.628
Pm12 Pm 0.000 0.500 0.884
Cd1 Cd 0.000 0.000 0.000
# Formation enthalpy at 0 K = 0.0109 eV per atom
# Size of the total moment = 0.000 μB/atom

***

Entry 12:
# Ac2Pm3Cd2 | the Alexandria database | GGA-PBE | relaxed
data_Ac2Pm3Cd2
_cell_length_a 3.825
_cell_length_b 3.790
_cell_length_c 16.748
_cell_angle_alpha 90.00
_cell_angle_beta 96.56
_cell_angle_gamma 90.00
_symmetry_space_group_name_H-M 'P 1'
_symmetry_Int_Tables_number 1
loop_
_symmetry_equiv_pos_as_xyz
'x,y,z'
loop_
_atom_site_label
_atom_site_type_symbol
_atom_site_fract_x
_atom_site_fract_y
_atom_site_fract_z
Ac1 Ac 0.302 0.500 0.604
Ac2 Ac 0.698 0.500 0.396
Pm1 Pm 0.427 0.500 0.854
Pm2 Pm 0.573 0.500 0.146
Pm3 Pm 0.000 0.000 0.000
Cd1 Cd 0.130 0.000 0.260
Cd2 Cd 0.870 0.000 0.740
# Formation enthalpy at 0 K = -0.1029 eV per atom
# Size of the total moment = 0.024 μB/atom

***

Among the records above, which one has the lowest formation enthalpy at 0 K?
AcPm2Cd6

***

Copy entry 3 word for word.
# Ac6Pm2Cd | the Alexandria database | GGA-PBE | relaxed
data_Ac6Pm2Cd
_cell_length_a 3.919
_cell_length_b 10.337
_cell_length_c 10.330
_cell_angle_alpha 120.02
_cell_angle_beta 90.00
_cell_angle_gamma 90.00
_symmetry_space_group_name_H-M 'P 1'
_symmetry_Int_Tables_number 1
loop_
_symmetry_equiv_pos_as_xyz
'x,y,z'
loop_
_atom_site_label
_atom_site_type_symbol
_atom_site_fract_x
_atom_site_fract_y
_atom_site_fract_z
Ac1 Ac 0.500 0.624 0.000
Ac2 Ac 0.500 0.376 0.376
Ac3 Ac 0.500 0.000 0.624
Ac4 Ac 0.000 0.280 0.000
Ac5 Ac 0.000 0.721 0.721
Ac6 Ac 0.000 0.000 0.279
Pm1 Pm 0.000 0.333 0.667
Pm2 Pm 0.000 0.666 0.333
Cd1 Cd 0.500 0.000 0.000
# Formation enthalpy at 0 K = -0.0379 eV per atom
# Size of the total moment = 0.000 μB/atom